Entry 1:
Below is Pu2ZrF8 after structural relaxation, with properties calculated at the PBE level.

Results
raw formation energy: -3.3618 eV/atom
energy: -0.2979 hartree per atom
DOS(E_F): 2.7291 states/eV per atom

Cell lengths 7.593, 7.593, 5.416 Å; angles 108.66, 108.66, 30.35 degrees
Element x y z (fractional)
Pu 0.174 0.174 0.185
Pu 0.826 0.826 0.815
Zr 0.500 0.500 0.500
F 0.023 0.023 0.304
F 0.222 0.222 0.796
F 0.353 0.353 0.544
F 0.409 0.409 0.092
F 0.591 0.591 0.908
F 0.647 0.647 0.456
F 0.778 0.778 0.204
F 0.977 0.977 0.696

---

Entry 2:
Below is Pu2ZrF11 after structural relaxation, with properties calculated at the PBE level.

Results
raw formation energy: -3.5713 eV/atom
energy: -0.2830 hartree per atom
DOS(E_F): 0.8159 states/eV per atom

Cell lengths 8.531, 8.531, 8.531 Å; angles 121.61, 105.31, 102.22 degrees
Element x y z (fractional)
Pu 0.183 0.150 0.333
Pu 0.317 0.650 0.968
Pu 0.683 0.350 0.032
Pu 0.817 0.850 0.667
Zr 0.250 0.750 0.500
Zr 0.750 0.250 0.500
F 0.000 0.000 0.000
F 0.018 0.440 0.749
F 0.076 0.845 0.637
F 0.191 0.940 0.423
F 0.207 0.439 0.363
F 0.213 0.873 0.086
F 0.287 0.373 0.661
F 0.293 0.655 0.231
F 0.309 0.732 0.749
F 0.424 0.061 0.769
F 0.482 0.232 0.423
F 0.500 0.500 0.000
F 0.518 0.768 0.577
F 0.576 0.939 0.231
F 0.691 0.268 0.251
F 0.707 0.345 0.769
F 0.713 0.627 0.339
F 0.787 0.127 0.914
F 0.793 0.561 0.637
F 0.809 0.060 0.577
F 0.924 0.155 0.363
F 0.982 0.560 0.251

---

Entry 3:
Below is PuZr2F11 after structural relaxation, with properties calculated at the PBE level.

Results
raw formation energy: -3.6680 eV/atom
energy: -0.2713 hartree per atom
DOS(E_F): 1.0657 states/eV per atom

Cell lengths 8.499, 8.499, 8.499 Å; angles 124.63, 106.31, 98.68 degrees
Element x y z (fractional)
Pu 0.250 0.250 0.000
Pu 0.750 0.750 0.000
Zr 0.181 0.634 0.816
Zr 0.319 0.134 0.453
Zr 0.681 0.866 0.547
Zr 0.819 0.366 0.184
F 0.000 0.500 0.500
F 0.046 0.968 0.286
F 0.052 0.366 0.156
F 0.182 0.468 0.923
F 0.210 0.896 0.844
F 0.219 0.372 0.591
F 0.281 0.872 0.153
F 0.290 0.134 0.686
F 0.318 0.241 0.286
F 0.448 0.604 0.314
F 0.454 0.741 0.923
F 0.500 0.000 0.500
F 0.546 0.259 0.077
F 0.552 0.396 0.686
F 0.682 0.759 0.714
F 0.710 0.866 0.314
F 0.719 0.128 0.847
F 0.781 0.628 0.409
F 0.790 0.104 0.156
F 0.818 0.532 0.077
F 0.948 0.634 0.844
F 0.954 0.032 0.714